KRe3, optimized geometry, DFT PBE-GGA; formation energy = 5.24 eV per formula unit; total DFT energy (no corrections) = -33.2 eV/cell
1.0
-1.3453 2.6372 5.2841
1.3453 -2.6372 5.2841
1.3453 2.6372 -5.2841
K Re
1 3
direct
0.0000 0.0000 0.0000
0.2879 0.7879 0.5000
0.5000 0.5000 0.0000
0.7121 0.2121 0.5000

AsSO2, optimized geometry, DFT PBE-GGA; total DFT energy (no corrections) = -19.3 eV/cell; energy relative to the elements, uncorrected = -153 meV per atom
1.0
1.6046 0.9264 6.1814
-1.6046 0.9264 6.1814
0.0000 -1.8528 6.1814
As S O
1 1 2
direct
0.0000 0.0000 0.0000
0.5000 0.5000 0.5000
0.3953 0.3953 0.3953
0.6047 0.6047 0.6047

Zn2Pd6Au, optimized geometry, DFT PBE-GGA; formation energy = -2.63 eV per formula unit; total DFT energy (no corrections) = -39.6 eV/cell
1.0
0.0000 5.4383 6.1771
2.0527 0.0000 6.1771
2.0527 5.4383 0.0000
Zn Pd Au
2 6 1
direct
0.1620 0.1620 0.8380
0.8380 0.8380 0.1620
0.1676 0.8324 0.1676
0.1692 0.4872 0.5128
0.4872 0.1692 0.8308
0.5128 0.8308 0.1692
0.8308 0.5128 0.4872
0.8324 0.1676 0.8324
0.5000 0.5000 0.5000